(1)
A relaxed Tm2MgZn crystal, computed with PBE.

abc: 5.1290 5.1290 5.1290
angles: 60.00 60.00 60.00
With the nearest neighbours (Å) after each atom.
Fractional positions:
Tm1 0.2500 0.2500 0.2500  4 Zn 3.14, 4 Mg 3.14
Tm2 0.7500 0.7500 0.7500  4 Zn 3.14, 4 Mg 3.14
Mg1 0.0000 0.0000 0.0000  8 Tm 3.14
Zn1 0.5000 0.5000 0.5000  8 Tm 3.14

## Properties
* DOS(E_F): 0.90 states/eV/atom
* ΔE_f: -0.169 eV/atom
* calculated volume: 23.85 A^3/atom
* final energy: -3.122 eV per atom

---

(2)
A relaxed Tm3Mg2Zn4 crystal, computed with PBE.

abc: 4.8756 4.8756 9.0517
angles: 90.00 90.00 120.00
With the nearest neighbours (Å) after each atom.
Fractional positions:
Tm1 0.0000 0.0000 0.0000  8 Zn 2.92-3.12
Tm2 0.3333 0.6667 0.5945  4 Zn 2.87-2.88
Tm3 0.6667 0.3333 0.4055  4 Zn 2.87-2.88
Mg1 0.3333 0.6667 0.2229  7 Zn 2.81-3.07
Mg2 0.6667 0.3333 0.7771  7 Zn 2.81-3.07
Zn1 0.0000 0.0000 0.3447  1 Zn 2.81, 4 Tm 2.87-3.12, 3 Mg 3.02
Zn2 0.0000 0.0000 0.6553  1 Zn 2.81, 4 Tm 2.87-3.12, 3 Mg 3.02
Zn3 0.3333 0.6667 0.9123  4 Mg 2.81-3.07, 4 Tm 2.88-2.92
Zn4 0.6667 0.3333 0.0877  4 Mg 2.81-3.07, 4 Tm 2.88-2.92

## Properties
* DOS(E_F): 0.63 states/eV/atom
* ΔE_f: -0.246 eV/atom
* calculated volume: 20.71 A^3/atom
* final energy: -2.657 eV per atom

---

(3)
A relaxed TmMgZn crystal, computed with PBE.

abc: 4.7999 4.7999 3.3470
angles: 90.00 90.00 120.00
With the nearest neighbours (Å) after each atom.
Fractional positions:
Tm1 0.0000 0.0000 0.0000  6 Zn 3.24, 6 Mg 3.24, 2 Tm 3.35
Mg1 0.3333 0.6667 0.5000  3 Zn 2.77
Zn1 0.6667 0.3333 0.5000  3 Mg 2.77

## Properties
* DOS(E_F): 1.07 states/eV/atom
* ΔE_f: -0.163 eV/atom
* calculated volume: 22.26 A^3/atom
* final energy: -2.610 eV per atom

---

(4)
A relaxed TmMgZn17 crystal, computed with PBE.

abc: 6.7745 6.7745 6.7745
angles: 82.50 82.50 82.50
With the nearest neighbours (Å) after each atom.
Fractional positions:
Tm1 0.0000 0.0000 0.0000  19 Zn 3.14-3.41
Mg1 0.2976 0.2976 0.2976  12 Zn 2.97-3.20
Zn1 0.0140 0.0140 0.4991  8 Zn 2.54-2.75
Zn2 0.0140 0.4991 0.0140  8 Zn 2.54-2.75
Zn3 0.1609 0.6717 0.6717  10 Zn 2.57-2.73
Zn4 0.3117 0.3117 0.8219  9 Zn 2.54-2.81
Zn5 0.3117 0.8219 0.3117  9 Zn 2.54-2.81
Zn6 0.3625 0.6592 0.9708  8 Zn 2.57-2.78
Zn7 0.3625 0.9708 0.6592  8 Zn 2.57-2.78
Zn8 0.4991 0.0140 0.0140  8 Zn 2.54-2.75
Zn9 0.5556 0.5556 0.5556  7 Zn 2.72-2.81
Zn10 0.6592 0.3625 0.9708  8 Zn 2.57-2.78
Zn11 0.6592 0.9708 0.3625  8 Zn 2.57-2.78
Zn12 0.6717 0.1609 0.6717  10 Zn 2.57-2.73
Zn13 0.6717 0.6717 0.1609  10 Zn 2.57-2.73
Zn14 0.7618 0.7618 0.7618  13 Zn 2.70-3.01
Zn15 0.8219 0.3117 0.3117  9 Zn 2.54-2.81
Zn16 0.9708 0.3625 0.6592  8 Zn 2.57-2.78
Zn17 0.9708 0.6592 0.3625  8 Zn 2.57-2.78

## Properties
* DOS(E_F): 0.26 states/eV/atom
* ΔE_f: -0.112 eV/atom
* calculated volume: 15.98 A^3/atom
* final energy: -1.571 eV per atom

---

(5)
A relaxed Tm4MgZn2 crystal, computed with PBE.

abc: 9.1183 9.1183 9.1183
angles: 31.80 31.80 31.80
With the nearest neighbours (Å) after each atom.
Fractional positions:
Tm1 0.1184 0.1184 0.1184  3 Mg 3.15, 3 Zn 3.16, 3 Tm 3.49
Tm2 0.2906 0.2906 0.2906  4 Zn 2.89-2.96
Tm3 0.7094 0.7094 0.7094  4 Zn 2.89-2.96
Tm4 0.8816 0.8816 0.8816  3 Mg 3.15, 3 Zn 3.16, 3 Tm 3.49
Mg1 0.5000 0.5000 0.5000  2 Zn 2.55
Zn1 0.4019 0.4019 0.4019  1 Mg 2.55
Zn2 0.5981 0.5981 0.5981  1 Mg 2.55

## Properties
* DOS(E_F): 1.35 states/eV/atom
* ΔE_f: 0.049 eV/atom
* calculated volume: 26.71 A^3/atom
* final energy: -3.098 eV per atom

---

(6)
A relaxed Tm3MgZn4 crystal, computed with PBE.

abc: 8.5479 8.5479 8.5479
angles: 33.17 33.17 33.17
With the nearest neighbours (Å) after each atom.
Fractional positions:
Tm1 0.0000 0.0000 0.0000  8 Zn 2.98-3.03
Tm2 0.2464 0.2464 0.2464  8 Zn 2.94-3.09
Tm3 0.7536 0.7536 0.7536  8 Zn 2.94-3.09
Mg1 0.5000 0.5000 0.5000  8 Zn 2.99-3.05
Zn1 0.1251 0.1251 0.1251  5 Tm 2.94-3.03, 3 Mg 2.99
Zn2 0.3739 0.3739 0.3739  7 Tm 2.98-3.09, 1 Mg 3.05
Zn3 0.6261 0.6261 0.6261  7 Tm 2.98-3.09, 1 Mg 3.05
Zn4 0.8749 0.8749 0.8749  5 Tm 2.94-3.03, 3 Mg 2.99

## Properties
* DOS(E_F): 0.45 states/eV/atom
* ΔE_f: -0.328 eV/atom
* calculated volume: 20.80 A^3/atom
* final energy: -2.841 eV per atom

---

(7)
A relaxed TmMg3Zn crystal, computed with PBE.

abc: 4.9642 4.9642 4.9642
angles: 94.05 94.05 94.05
With the nearest neighbours (Å) after each atom.
Fractional positions:
Tm1 0.0000 0.0000 0.0000  1 Zn 2.95
Mg1 0.5011 0.5011 0.9103  2 Zn 2.53-2.74
Mg2 0.5011 0.9103 0.5011  2 Zn 2.53-2.74
Mg3 0.9103 0.5011 0.5011  2 Zn 2.53-2.74
Zn1 0.3696 0.3696 0.3696  6 Mg 2.53-2.74

## Properties
* DOS(E_F): 0.66 states/eV/atom
* ΔE_f: 0.081 eV/atom
* calculated volume: 24.27 A^3/atom
* final energy: -2.025 eV per atom

---

(8)
A relaxed Tm6Mg2Zn crystal, computed with PBE.

abc: 6.2329 9.1973 9.8642
angles: 90.00 117.86 90.00
With the nearest neighbours (Å) after each atom.
Fractional positions:
Tm1 0.0662 0.1716 0.4668  3 Mg 2.96-3.23, 1 Zn 3.09
Tm2 0.0662 0.3284 0.9668  3 Mg 2.96-3.23, 1 Zn 3.09
Tm3 0.3603 0.6860 0.4446  1 Zn 3.07, 3 Mg 3.09-3.39, 2 Tm 3.38-3.42
Tm4 0.3603 0.8140 0.9446  1 Zn 3.07, 3 Mg 3.09-3.39, 2 Tm 3.38-3.42
Tm5 0.4287 0.0348 0.3031  1 Zn 2.95
Tm6 0.4287 0.4652 0.8031  1 Zn 2.95
Tm7 0.5713 0.5348 0.1969  1 Zn 2.95
Tm8 0.5713 0.9652 0.6969  1 Zn 2.95
Tm9 0.6397 0.1860 0.0554  1 Zn 3.07, 3 Mg 3.09-3.39, 2 Tm 3.38-3.42
Tm10 0.6397 0.3140 0.5554  1 Zn 3.07, 3 Mg 3.09-3.39, 2 Tm 3.38-3.42
Tm11 0.9338 0.6716 0.0332  3 Mg 2.96-3.23, 1 Zn 3.09
Tm12 0.9338 0.8284 0.5332  3 Mg 2.96-3.23, 1 Zn 3.09
Mg1 0.1178 0.0967 0.7723  1 Zn 2.81, 3 Tm 2.96-3.09
Mg2 0.1178 0.4033 0.2723  1 Zn 2.81, 3 Tm 2.96-3.09
Mg3 0.8822 0.5967 0.7277  1 Zn 2.81, 3 Tm 2.96-3.09
Mg4 0.8822 0.9033 0.2277  1 Zn 2.81, 3 Tm 2.96-3.09
Zn1 0.0000 0.0000 0.0000  2 Mg 2.81, 6 Tm 2.95-3.09
Zn2 0.0000 0.5000 0.5000  2 Mg 2.81, 6 Tm 2.95-3.09

## Properties
* DOS(E_F): 1.22 states/eV/atom
* ΔE_f: 0.054 eV/atom
* calculated volume: 27.77 A^3/atom
* final energy: -3.423 eV per atom

---

(9)
A relaxed Tm4Mg3Zn crystal, computed with PBE.

abc: 3.6366 3.6366 15.2598
angles: 90.00 90.00 90.00
With the nearest neighbours (Å) after each atom.
Fractional positions:
Tm1 0.0000 0.0000 0.1104  4 Zn 3.07, 4 Mg 3.26, 1 Tm 3.37
Tm2 0.0000 0.0000 0.3698  8 Mg 3.23-3.25
Tm3 0.0000 0.0000 0.6302  8 Mg 3.23-3.25
Tm4 0.0000 0.0000 0.8896  4 Zn 3.07, 4 Mg 3.26, 1 Tm 3.37
Mg1 0.5000 0.5000 0.2417  8 Tm 3.23-3.26
Mg2 0.5000 0.5000 0.5000  8 Tm 3.25, 4 Mg 3.64
Mg3 0.5000 0.5000 0.7583  8 Tm 3.23-3.26
Zn1 0.5000 0.5000 0.0000  8 Tm 3.07

## Properties
* DOS(E_F): 1.16 states/eV/atom
* ΔE_f: -0.126 eV/atom
* calculated volume: 25.23 A^3/atom
* final energy: -3.119 eV per atom

---

(10)
A relaxed TmMgZn2 crystal, computed with PBE.

abc: 4.7642 4.7642 3.5549
angles: 90.00 90.00 90.00
With the nearest neighbours (Å) after each atom.
Fractional positions:
Tm1 0.0000 0.0000 0.0000  8 Zn 2.97
Mg1 0.5000 0.5000 0.0000  8 Zn 2.97
Zn1 0.0000 0.5000 0.5000  4 Mg 2.97, 4 Tm 2.97
Zn2 0.5000 0.0000 0.5000  4 Mg 2.97, 4 Tm 2.97

## Properties
* DOS(E_F): 0.43 states/eV/atom
* ΔE_f: -0.245 eV/atom
* calculated volume: 20.17 A^3/atom
* final energy: -2.399 eV per atom

---

(11)
A relaxed Tm2MgZn crystal, computed with PBE.

abc: 3.5157 3.5157 7.8480
angles: 90.00 90.00 90.00
With the nearest neighbours (Å) after each atom.
Fractional positions:
Tm1 0.0000 0.0000 0.2207  4 Zn 3.03, 4 Mg 3.31
Tm2 0.0000 0.0000 0.7793  4 Zn 3.03, 4 Mg 3.31
Mg1 0.5000 0.5000 0.5000  8 Tm 3.31, 4 Mg 3.52
Zn1 0.5000 0.5000 0.0000  8 Tm 3.03

## Properties
* DOS(E_F): 0.88 states/eV/atom
* ΔE_f: -0.204 eV/atom
* calculated volume: 24.25 A^3/atom
* final energy: -3.157 eV per atom

---

Q: Which of these has the highest final energy?
A: TmMgZn17

---

Please write out number 3 again, unchanged.
A relaxed TmMgZn crystal, computed with PBE.

abc: 4.7999 4.7999 3.3470
angles: 90.00 90.00 120.00
With the nearest neighbours (Å) after each atom.
Fractional positions:
Tm1 0.0000 0.0000 0.0000  6 Zn 3.24, 6 Mg 3.24, 2 Tm 3.35
Mg1 0.3333 0.6667 0.5000  3 Zn 2.77
Zn1 0.6667 0.3333 0.5000  3 Mg 2.77

## Properties
* DOS(E_F): 1.07 states/eV/atom
* ΔE_f: -0.163 eV/atom
* calculated volume: 22.26 A^3/atom
* final energy: -2.610 eV per atom